(1)
Computed, not measured: an optimized crystal structure of Ba6MgAg5 at the PBE-GGA level of DFT.

Results
- Magnetic moment: 0.000 μB per cell
- ΔE_f: -0.19 eV/atom

Unit cell a=5.8625 b=17.6447 c=8.3429 alpha=90.00 beta=90.00 gamma=90.00
Space group Cmmm (No. 65)
Asymmetric unit:
Ba 0.0000 0.0000 0.2398 (multiplicity 4)
Ba 0.0000 0.3294 0.2485 (multiplicity 8)
Mg 0.0000 0.5000 0.5000 (multiplicity 2)
Ag 0.0000 0.1563 0.5000 (multiplicity 4)
Ag 0.0000 0.1674 0.0000 (multiplicity 4)
Ag 0.0000 0.5000 0.0000 (multiplicity 2)

(2)
Computed, not measured: an optimized crystal structure of HoPaPd6 at the PBE-GGA level of DFT.

Results
- Magnetic moment: 0.223 μB per cell
- ΔE_f: -0.88 eV/atom

Unit cell a=4.1313 b=4.1313 c=8.2511 alpha=90.00 beta=90.00 gamma=90.00
Space group P4/mmm (No. 123)
Asymmetric unit:
Ho 0.0000 0.0000 0.0000 (multiplicity 1)
Pa 0.0000 0.0000 0.5000 (multiplicity 1)
Pd 0.0000 0.5000 0.2547 (multiplicity 4)
Pd 0.5000 0.5000 0.0000 (multiplicity 1)
Pd 0.5000 0.5000 0.5000 (multiplicity 1)

(3)
Computed, not measured: an optimized crystal structure of CaAcTmTl at the PBE-GGA level of DFT.

Results
- Magnetic moment: 2.866 μB per cell
- ΔE_f: 0.08 eV/atom

Unit cell a=8.1224 b=8.1224 c=8.1224 alpha=90.00 beta=90.00 gamma=90.00
Space group F-43m (No. 216)
Asymmetric unit:
Ca 0.0000 0.0000 0.0000 (multiplicity 4)
Ac 0.2500 0.2500 0.7500 (multiplicity 4)
Tm 0.0000 0.0000 0.5000 (multiplicity 4)
Tl 0.2500 0.2500 0.2500 (multiplicity 4)